A:
PmTaBe: optimized geometry, PBE.

As for the total magnetization: 1.92 μB/cell. The density is 7.68 g/cm3.

a = 4.6778 Å, b = 4.6778 Å, c = 4.6778 Å
α = 60.00°, β = 60.00°, γ = 60.00°
With the nearest neighbours (Å) after each atom.
Atoms (fractional coordinates):
Be1 0.5000 0.5000 0.5000  4 Pm 2.86
Pm1 0.2500 0.2500 0.2500  4 Be 2.86, 4 Ta 2.86
Ta1 0.0000 0.0000 0.0000  4 Pm 2.86

=====

B:
PmTaBe: optimized geometry, PBE.

As for the total magnetization: 0.04 μB/cell. The density is 8.89 g/cm3.

a = 4.4563 Å, b = 4.4563 Å, c = 4.4563 Å
α = 60.00°, β = 60.00°, γ = 60.00°
With the nearest neighbours (Å) after each atom.
Atoms (fractional coordinates):
Be1 0.0000 0.0000 0.0000  4 Pm 2.73, 4 Ta 2.73
Pm1 0.2500 0.2500 0.2500  4 Be 2.73
Ta1 0.7500 0.7500 0.7500  4 Be 2.73

=====

Q: What are the energies relative to the best structure? A: A 97.6; B 0.0, in kJ/mol of atoms.